Record 1
Computed, not measured: an optimized crystal structure of Te3Os5 at the PBE level of DFT.

Results
- Total magnetization: 0.00 Bohr magnetons per cell
- E_form (uncorrected): 676 meV/atom
- Crystal system: monoclinic
- D(E_F): 12.5 states/eV/cell

a b c (Å): 9.7787 9.7787 7.5500
angles (deg): 95.07 95.07 148.67
Fractional positions:
Te 0.0000 0.0000 0.0000
Te 0.0452 0.7053 0.0862
Te 0.1152 0.4697 0.5959
Te 0.4697 0.1152 0.5959
Te 0.5823 0.5823 0.1788
Te 0.7053 0.0452 0.0862
Os 0.0849 0.8780 0.7708
Os 0.1318 0.1318 0.5732
Os 0.1912 0.3451 0.3327
Os 0.3451 0.1912 0.3327
Os 0.4386 0.5888 0.8462
Os 0.5888 0.4386 0.8462
Os 0.6454 0.6454 0.5959
Os 0.7103 0.9178 0.4124
Os 0.8780 0.0849 0.7708
Os 0.9178 0.7103 0.4124

Record 2
Computed, not measured: an optimized crystal structure of Te4Os3 at the PBE level of DFT.

Results
- Total magnetization: 0.00 Bohr magnetons per cell
- E_form (uncorrected): 981 meV/atom
- Crystal system: hexagonal
- D(E_F): 8.4 states/eV/cell

a b c (Å): 5.0263 5.0263 8.5390
angles (deg): 90.00 90.00 120.00
Fractional positions:
Te 0.0000 0.0000 0.1905
Te 0.0000 0.0000 0.8095
Te 0.3333 0.6667 0.5000
Te 0.6667 0.3333 0.5000
Os 0.0000 0.5000 0.0000
Os 0.5000 0.0000 0.0000
Os 0.5000 0.5000 0.0000

Record 3
Computed, not measured: an optimized crystal structure of TeOs2 at the PBE level of DFT.

Results
- Total magnetization: 0.00 Bohr magnetons per cell
- E_form (uncorrected): 866 meV/atom
- Crystal system: trigonal
- D(E_F): 2.3 states/eV/cell

a b c (Å): 3.0090 3.0090 6.5206
angles (deg): 90.00 90.00 120.00
Fractional positions:
Te 0.0000 0.0000 0.0000
Os 0.3333 0.6667 0.3462
Os 0.6667 0.3333 0.6538

Record 4
Computed, not measured: an optimized crystal structure of TeOs2 at the PBE level of DFT.

Results
- Total magnetization: 0.00 Bohr magnetons per cell
- E_form (uncorrected): 938 meV/atom
- Crystal system: tetragonal
- D(E_F): 10.1 states/eV/cell

a b c (Å): 13.1708 13.1708 13.1708
angles (deg): 162.64 162.64 24.65
Fractional positions:
Te 0.3003 0.5503 0.7500
Te 0.4497 0.6997 0.7500
Te 0.5503 0.3003 0.2500
Te 0.6997 0.4497 0.2500
Os 0.0469 0.7969 0.2500
Os 0.1233 0.3733 0.7500
Os 0.2031 0.9531 0.2500
Os 0.3733 0.1233 0.2500
Os 0.6267 0.8767 0.7500
Os 0.7969 0.0469 0.7500
Os 0.8767 0.6267 0.2500
Os 0.9531 0.2031 0.7500

Record 5
Computed, not measured: an optimized crystal structure of TeOs2 at the PBE level of DFT.

Results
- Total magnetization: 0.00 Bohr magnetons per cell
- E_form (uncorrected): 894 meV/atom
- Crystal system: orthorhombic
- D(E_F): 4.6 states/eV/cell

a b c (Å): 6.1691 6.1691 4.3346
angles (deg): 90.00 90.00 141.20
Fractional positions:
Te 0.1045 0.8955 0.7500
Te 0.8955 0.1045 0.2500
Os 0.2228 0.7772 0.2500
Os 0.4358 0.5642 0.7500
Os 0.5642 0.4358 0.2500
Os 0.7772 0.2228 0.7500

Record 6
Computed, not measured: an optimized crystal structure of TeOs2 at the PBE level of DFT.

Results
- Total magnetization: 0.00 Bohr magnetons per cell
- E_form (uncorrected): 1151 meV/atom
- Crystal system: tetragonal
- D(E_F): 2.1 states/eV/cell

a b c (Å): 4.6533 4.6533 4.6533
angles (deg): 133.08 133.08 68.54
Fractional positions:
Te 0.0000 0.0000 0.0000
Os 0.3323 0.3323 0.0000
Os 0.6677 0.6677 0.0000

Record 7
Computed, not measured: an optimized crystal structure of Th5Te5Os at the PBE level of DFT.

Results
- Total magnetization: 0.00 Bohr magnetons per cell
- E_form (uncorrected): -1032 meV/atom
- Crystal system: monoclinic
- D(E_F): 7.7 states/eV/cell

a b c (Å): 7.6937 7.6937 8.8425
angles (deg): 107.73 107.73 48.11
Fractional positions:
Th 0.0000 0.0000 0.0000
Th 0.3464 0.3464 0.1442
Th 0.3537 0.3537 0.7049
Th 0.6463 0.6463 0.2951
Th 0.6536 0.6536 0.8558
Te 0.1551 0.1551 0.8065
Te 0.1822 0.1822 0.3413
Te 0.5000 0.5000 0.5000
Te 0.8178 0.8178 0.6587
Te 0.8449 0.8449 0.1935
Os 0.5000 0.5000 0.0000

Record 8
Computed, not measured: an optimized crystal structure of Th5Te2Os2 at the PBE level of DFT.

Results
- Total magnetization: 0.00 Bohr magnetons per cell
- E_form (uncorrected): -704 meV/atom
- Crystal system: orthorhombic
- D(E_F): 16.2 states/eV/cell

a b c (Å): 8.9240 8.9240 8.4030
angles (deg): 90.00 90.00 51.43
Fractional positions:
Th 0.0000 0.0000 0.0000
Th 0.0361 0.7356 0.6662
Th 0.2356 0.5361 0.1662
Th 0.2644 0.9639 0.6662
Th 0.4639 0.7644 0.1662
Th 0.5000 0.5000 0.5000
Th 0.5361 0.2356 0.8338
Th 0.7356 0.0361 0.3338
Th 0.7644 0.4639 0.8338
Th 0.9639 0.2644 0.3338
Te 0.2054 0.2054 0.0000
Te 0.2946 0.2946 0.5000
Te 0.7054 0.7054 0.5000
Te 0.7946 0.7946 0.0000
Os 0.1571 0.8429 0.3784
Os 0.3429 0.6571 0.8784
Os 0.6571 0.3429 0.1216
Os 0.8429 0.1571 0.6216

Record 9
Computed, not measured: an optimized crystal structure of Th4TeOs at the PBE level of DFT.

Results
- Total magnetization: 0.00 Bohr magnetons per cell
- E_form (uncorrected): -320 meV/atom
- Crystal system: monoclinic
- D(E_F): 12.8 states/eV/cell

a b c (Å): 8.3961 8.3961 10.6200
angles (deg): 128.39 128.39 39.29
Fractional positions:
Th 0.0842 0.0842 0.1978
Th 0.0926 0.0926 0.7215
Th 0.3665 0.3665 0.5478
Th 0.3771 0.3771 0.9578
Th 0.6229 0.6229 0.0422
Th 0.6335 0.6335 0.4522
Th 0.9074 0.9074 0.2785
Th 0.9158 0.9158 0.8022
Te 0.2762 0.2762 0.1525
Te 0.7238 0.7238 0.8475
Os 0.1574 0.1574 0.5248
Os 0.8426 0.8426 0.4752

Record 10
Computed, not measured: an optimized crystal structure of Th4Te5Os at the PBE level of DFT.

Results
- Total magnetization: 0.00 Bohr magnetons per cell
- E_form (uncorrected): -993 meV/atom
- Crystal system: monoclinic
- D(E_F): 3.7 states/eV/cell

a b c (Å): 9.7090 9.7090 8.9325
angles (deg): 103.58 103.58 25.98
Fractional positions:
Th 0.0010 0.0010 0.2322
Th 0.3500 0.3500 0.9215
Th 0.6500 0.6500 0.0785
Th 0.9990 0.9990 0.7678
Te 0.1704 0.1704 0.3376
Te 0.1724 0.1724 0.8297
Te 0.5000 0.5000 0.5000
Te 0.8276 0.8276 0.1703
Te 0.8296 0.8296 0.6624
Os 0.5000 0.5000 0.0000